Compound: Ho2CoRh
Source: Alexandria
Functional: PBE
Structure: optimized geometry

abc: 3.353 3.353 6.809
angles: 90.00 90.00 90.00
Space group P4/mmm (No. 123)
Unique sites:
Ho 0.000 0.000 0.243 [2 per cell]
Co 0.500 0.500 0.000 [1 per cell]
Rh 0.500 0.500 0.500 [1 per cell]

* raw total energy: -6.44 eV per atom
* crystal system: tetragonal
* DFT formation energy: -0.539 eV/atom

---

Compound: MgCd2Ru2
Source: Alexandria
Functional: PBE
Structure: optimized geometry

abc: 6.806 6.806 4.047
angles: 90.00 90.00 90.00
Space group P4/mbm (No. 127)
Unique sites:
Mg 0.000 0.000 0.000 [2 per cell]
Cd 0.173 0.327 0.500 [4 per cell]
Ru 0.125 0.625 0.000 [4 per cell]

* raw total energy: -4.09 eV per atom
* crystal system: tetragonal
* DFT formation energy: 0.307 eV/atom

---

Compound: Rb4Ce3PdSe8
Source: Alexandria
Functional: PBE
Structure: optimized geometry

abc: 15.396 8.377 9.340
angles: 90.00 120.90 90.00
Space group C2/m (No. 12)
Unique sites:
Rb 0.000 0.000 0.000 [2 per cell]
Rb 0.000 0.500 0.000 [2 per cell]
Rb 0.250 0.250 0.000 [4 per cell]
Ce 0.000 0.000 0.500 [2 per cell]
Ce 0.250 0.250 0.500 [4 per cell]
Pd 0.000 0.500 0.500 [2 per cell]
Se 0.022 0.277 0.326 [8 per cell]
Se 0.228 0.000 0.700 [4 per cell]
Se 0.236 0.000 0.280 [4 per cell]

* raw total energy: -4.80 eV per atom
* crystal system: monoclinic
* raw formation energy: -1.381 eV/atom

---

Compound: CaTlGaAg
Source: Alexandria
Functional: PBE
Structure: optimized geometry

abc: 7.153 7.153 7.153
angles: 90.00 90.00 90.00
Space group F-43m (No. 216)
Unique sites:
Ca 0.000 0.000 0.000 [4 per cell]
Tl 0.250 0.250 0.750 [4 per cell]
Ga 0.250 0.250 0.250 [4 per cell]
Ag 0.000 0.000 0.500 [4 per cell]

* raw total energy: -2.74 eV per atom
* crystal system: cubic
* DFT formation energy: -0.174 eV/atom

---

Compound: CdMoRu2
Source: Alexandria
Functional: PBE
Structure: optimized geometry

abc: 2.8004 2.8004 27.9879
angles: 90.00 90.00 120.00
Space group R3m (No. 160, hexagonal axes)
Unique sites:
Cd 0.0000 0.0000 0.0000 [3 per cell]
Mo 0.0000 0.0000 0.2409 [3 per cell]
Ru 0.0000 0.0000 0.4959 [3 per cell]
Ru 0.0000 0.0000 0.7544 [3 per cell]

* raw total energy: -7.29 eV per atom
* crystal system: trigonal
* DFT formation energy: 0.280 eV/atom

---

Compound: Sr2GaSn2Au4
Source: Alexandria
Functional: PBE
Structure: optimized geometry

abc: 6.919 6.919 9.437
angles: 90.00 90.00 90.00
Space group I4/mmm (No. 139)
Unique sites:
Sr 0.000 0.500 0.250 [4 per cell]
Ga 0.000 0.000 0.000 [2 per cell]
Sn 0.000 0.000 0.319 [4 per cell]
Au 0.238 0.238 0.500 [8 per cell]

* raw total energy: -3.55 eV per atom
* crystal system: tetragonal
* DFT formation energy: -0.497 eV/atom

---

Compound: Nd5Te
Source: Alexandria
Functional: PBE
Structure: optimized geometry

abc: 5.622 18.607 3.894
angles: 90.00 90.00 90.00
Space group Cmmm (No. 65)
Unique sites:
Nd 0.000 0.000 0.000 [2 per cell]
Nd 0.000 0.190 0.500 [4 per cell]
Nd 0.000 0.358 0.000 [4 per cell]
Te 0.000 0.500 0.500 [2 per cell]

* raw total energy: -4.86 eV per atom
* crystal system: orthorhombic
* raw formation energy: -0.362 eV/atom

---

Compound: AlV3In
Source: Alexandria
Functional: PBE
Structure: optimized geometry

abc: 4.866 4.866 4.866
angles: 90.00 90.00 90.00
Space group Pm-3m (No. 221)
Unique sites:
Al 0.000 0.000 0.000 [1 per cell]
V 0.000 0.500 0.500 [3 per cell]
In 0.500 0.500 0.500 [1 per cell]

* raw total energy: -5.08 eV per atom
* crystal system: cubic
* DFT formation energy: 1.683 eV/atom

---

Compound: Dy3Y8
Source: Alexandria
Functional: PBE
Structure: optimized geometry

abc: 9.6846 9.6846 13.4493
angles: 90.00 90.00 120.00
Space group R-3 (No. 148, hexagonal axes)
Unique sites:
Dy 0.0000 0.5000 0.0000 [9 per cell]
Y 0.0000 0.0000 0.3811 [6 per cell]
Y 0.0379 0.8079 0.1125 [18 per cell]

* raw total energy: -5.41 eV per atom
* crystal system: trigonal
* DFT formation energy: 0.550 eV/atom

---

Compound: CaH3Ir
Source: Alexandria
Functional: PBE
Structure: optimized geometry

abc: 3.827 3.827 3.827
angles: 90.00 90.00 90.00
Space group Pm-3m (No. 221)
Unique sites:
Ca 0.000 0.000 0.000 [1 per cell]
H 0.000 0.000 0.500 [3 per cell]
Ir 0.500 0.500 0.500 [1 per cell]

* raw total energy: -3.24 eV per atom
* crystal system: cubic

---

Compound: Ac5LaCd
Source: Alexandria
Functional: PBE
Structure: optimized geometry

abc: 9.611 9.155 13.523
angles: 90.00 102.13 90.00
Space group C2/c (No. 15)
Unique sites:
Ac 0.000 0.027 0.250 [4 per cell]
Ac 0.148 0.366 0.068 [8 per cell]
Ac 0.223 0.329 0.365 [8 per cell]
La 0.000 0.362 0.750 [4 per cell]
Cd 0.000 0.000 0.000 [4 per cell]

* raw total energy: -3.73 eV per atom
* crystal system: monoclinic
* DFT formation energy: 0.038 eV/atom

---

Compound: NiHgCl2
Source: Alexandria
Functional: PBE
Structure: optimized geometry

abc: 6.601 6.960 3.527
angles: 90.00 90.00 90.00
Space group Cmmm (No. 65)
Unique sites:
Ni 0.000 0.000 0.000 [2 per cell]
Hg 0.000 0.500 0.000 [2 per cell]
Cl 0.250 0.250 0.500 [4 per cell]

* raw total energy: -2.11 eV per atom
* crystal system: orthorhombic
* raw formation energy: 0.329 eV/atom

---

- The highest raw total energy belongs to which entry?
  NiHgCl2